Below is a relaxed V2SnPbO8 crystal, with properties calculated at the GGA+U level.

Summary:
The value obtained for the density of states at the Fermi level is 0.00 states/eV per atom. The total energy is -82.55 eV per formula unit. Its density is 4.74 g/cm³. Its crystal system is trigonal.

Unit cell a=5.6844 b=5.6844 c=6.9615 alpha=90.00 beta=90.00 gamma=120.00
Sites, in units of the cell vectors:
V 0.6667 0.3333 0.2373
O 0.6776 0.8374 0.6891
O 0.8403 0.6776 0.3109
O 0.3333 0.6667 0.0011
O 0.1597 0.3224 0.6891
Sn 0.0000 0.0000 0.5000
O 0.3224 0.1626 0.3109
V 0.3333 0.6667 0.7627
O 0.1626 0.8403 0.6891
Pb 0.0000 0.0000 0.0000
O 0.6667 0.3333 0.9989
O 0.8374 0.1597 0.3109